Entry 1:
## Pm2Dy5YTh (PBE)

Data for Pm2Dy5YTh after structural relaxation.

Output
E_form ... 0.161 eV/atom
Total magnetic moment ... 0.000 μB per formula unit
Energy ... -4.994 eV per atom
Mass density ... 7.826 g cm⁻³
Space group ... Cmc2_1

```
Pm2Dy5YTh
1.0
-5.223 0.383 -2.309
5.245 -7.709 -6.052
-3.216 -6.987 6.114
Dy Th Pm Y
10 2 4 2
direct
0.730 0.459 0.828 Dy
0.530 0.060 0.242 Dy
0.397 0.794 0.041 Dy
0.985 0.970 0.516 Dy
0.306 0.611 0.718 Dy
0.270 0.541 0.328 Dy
0.470 0.940 0.742 Dy
0.694 0.389 0.218 Dy
0.603 0.206 0.541 Dy
0.015 0.030 0.016 Dy
0.405 0.810 0.426 Th
0.595 0.190 0.926 Th
0.130 0.260 0.711 Pm
0.115 0.229 0.327 Pm
0.870 0.740 0.211 Pm
0.885 0.771 0.827 Pm
0.808 0.616 0.517 Y
0.192 0.384 0.017 Y
```


Entry 2:
## Pr2ZnN (PBE)

Data for Pr2ZnN after structural relaxation.

Output
Total magnetic moment ... 0.000 μB per formula unit
ΔE to the lowest computed polymorph ... 0.0000 eV per atom
Energy ... -5.458 eV per atom
Mass density ... 6.565 g cm⁻³
Raw formation energy ... -2.67 eV/f.u.
Space group ... R-3m

```
Pr2ZnN
1.0
3.739 0.000 0.000
1.870 3.238 0.000
1.870 1.079 7.546
Pr Zn N
2 1 1
direct
0.771 0.771 0.688 Pr
0.229 0.229 0.312 Pr
0.000 0.000 0.000 Zn
0.500 0.500 0.500 N
```


Entry 3:
## CsFe3Br (PBE)

Data for CsFe3Br after structural relaxation.

Output
Total magnetic moment ... 6.795 μB per formula unit
ΔE to the lowest computed polymorph ... 0.0000 eV per atom
Energy ... -4.154 eV per atom
Mass density ... 5.784 g cm⁻³
Raw formation energy ... 7.14 eV/f.u.
Space group ... Pm-3m

```
CsFe3Br
1.0
4.780 0.000 0.000
0.000 4.780 0.000
0.000 0.000 4.780
Cs Fe Br
1 3 1
direct
0.500 0.500 0.500 Cs
0.000 0.000 0.500 Fe
0.000 0.500 0.000 Fe
0.500 0.000 0.000 Fe
0.000 0.000 0.000 Br
```


Entry 4:
## Th2Ta2C3 (PBE)

Data for Th2Ta2C3 after structural relaxation.

Output
E_form ... -0.444 eV/atom
Total magnetic moment ... 0.000 μB per formula unit
Energy ... -9.903 eV per atom
Mass density ... 12.011 g cm⁻³
Space group ... C2/m

```
Th2Ta2C3
1.0
-0.277 3.400 -0.559
2.208 -0.729 -5.526
-6.067 -2.176 0.456
Ta C Th
2 3 2
direct
0.846 0.668 0.693 Ta
0.154 0.332 0.307 Ta
0.252 0.729 0.505 C
0.000 0.000 0.000 C
0.748 0.271 0.495 C
0.609 0.822 0.218 Th
0.391 0.178 0.782 Th
```


Entry 5:
## YSbO3 (PBE)

Data for YSbO3 after structural relaxation.

Output
Total magnetic moment ... 0.000 μB per formula unit
Energy ... -7.281 eV per atom
Mass density ... 5.727 g cm⁻³
Raw formation energy ... -10.95 eV/f.u.
Space group ... Pnma

```
YSbO3
1.0
5.624 0.000 0.000
0.000 5.949 0.000
0.000 0.000 8.968
O Sb Y
12 4 4
direct
0.333 0.098 0.250 O
0.197 0.799 0.907 O
0.803 0.201 0.093 O
0.303 0.299 0.593 O
0.667 0.902 0.750 O
0.303 0.299 0.907 O
0.697 0.701 0.093 O
0.197 0.799 0.593 O
0.697 0.701 0.407 O
0.167 0.598 0.250 O
0.833 0.402 0.750 O
0.803 0.201 0.407 O
0.500 0.000 0.500 Sb
0.500 0.000 0.000 Sb
0.000 0.500 0.000 Sb
0.000 0.500 0.500 Sb
0.966 0.941 0.250 Y
0.534 0.441 0.250 Y
0.034 0.059 0.750 Y
0.466 0.559 0.750 Y
```